The following is a PBE calculation of a relaxed structure of TbSmTh2Se5, from the Alexandria database.

```
TbSmTh2Se5
1.0
4.017 0.000 0.000
-2.009 8.678 0.000
0.000 0.000 13.991
Tb Sm Th Se
2 2 4 10
direct
0.761 0.523 0.541
0.239 0.477 0.041
0.556 0.112 0.949
0.444 0.888 0.449
0.865 0.729 0.806
0.082 0.163 0.626
0.135 0.271 0.306
0.918 0.837 0.126
0.390 0.780 0.968
0.713 0.426 0.896
0.504 0.008 0.757
0.252 0.504 0.692
0.918 0.835 0.589
0.610 0.220 0.468
0.287 0.574 0.396
0.496 0.992 0.257
0.748 0.496 0.192
0.082 0.165 0.089
```

Summary:
Raw formation energy ... -1.5955 eV/atom
M_tot ... 0.0 μB/f.u.
Fermi-level density of states ... 0.68 states/eV per atom
Space group ... Cmc2_1